1.
The following is a DFT calculation (PBE) of an optimized crystal structure of SrYAl.

Properties
- Polymorph energy (0 for the lowest one): 0.097 eV/atom

Unit cell a=5.4358 b=5.4358 c=7.1152 alpha=90.00 beta=90.00 gamma=120.00
Last column: nearest neighbours and their distance in Å.
Space group P6_3/mmc (No. 194)
Asymmetric unit:
Sr  0.0000  0.0000  0.0000 (multiplicity 2)  2 Sr 3.56, 6 Al 3.61, 6 Y 3.61
Y  0.3333  0.6667  0.2500 (multiplicity 2)  3 Al 3.14
Al  0.3333  0.6667  0.7500 (multiplicity 2)  3 Y 3.14



2.
The following is a DFT calculation (PBE) of an optimized crystal structure of PdPt3Rh2.

Properties
- Electronic total energy: -6.37 eV/atom

Unit cell a=2.7742 b=2.7742 c=11.7608 alpha=90.00 beta=90.00 gamma=90.00
Last column: nearest neighbours and their distance in Å.
Space group P4/mmm (No. 123)
Asymmetric unit:
Pd  0.0000  0.0000  0.0000 (multiplicity 1)  4 Pd 2.77, 8 Pt 2.81
Pt  0.5000  0.5000  0.1716 (multiplicity 2)  4 Rh 2.75, 4 Pt 2.77, 4 Pd 2.81
Pt  0.5000  0.5000  0.5000 (multiplicity 1)  8 Rh 2.75, 4 Pt 2.77
Rh  0.0000  0.0000  0.3360 (multiplicity 2)  8 Pt 2.75, 4 Rh 2.77



3.
The following is a DFT calculation (PBE) of an optimized crystal structure of ZrPa2Hg.

Properties
- Polymorph energy (0 for the lowest one): 0.027 eV/atom

Unit cell a=4.3345 b=4.3345 c=5.0325 alpha=90.00 beta=90.00 gamma=90.00
Last column: nearest neighbours and their distance in Å.
Space group P4/mmm (No. 123)
Asymmetric unit:
Zr  0.0000  0.0000  0.0000 (multiplicity 1)  4 Hg 3.06, 8 Pa 3.32
Pa  0.0000  0.5000  0.5000 (multiplicity 2)  4 Pa 3.06, 4 Hg 3.32, 4 Zr 3.32
Hg  0.5000  0.5000  0.0000 (multiplicity 1)  4 Zr 3.06, 8 Pa 3.32



4.
The following is a DFT calculation (PBE) of an optimized crystal structure of SrBe2Se.

Properties
- ΔE_f (raw): -0.2250 eV per atom

Unit cell a=7.8795 b=3.7435 c=5.8121 alpha=90.00 beta=102.27 gamma=90.00
Last column: nearest neighbours and their distance in Å.
Space group Cm (No. 8)
Asymmetric unit:
Sr  0.0000  0.0000  0.0000 (multiplicity 2)  5 Be 3.06-3.32, 3 Se 3.14-3.18
Be  0.1105  0.5000  0.6410 (multiplicity 2)  1 Se 2.17, 1 Be 2.27
Be  0.3188  0.0000  0.6075 (multiplicity 2)  3 Be 2.27-2.52, 2 Se 2.35
Se  0.2540  0.5000  0.3608 (multiplicity 2)  3 Be 2.17-2.35



5.
The following is a DFT calculation (PBE) of an optimized crystal structure of Sr4SnHg5.

Properties
- Electronic total energy: -1.69 eV/atom

Unit cell a=3.9834 b=3.9834 c=19.2368 alpha=90.00 beta=90.00 gamma=90.00
Last column: nearest neighbours and their distance in Å.
Space group P4/mmm (No. 123)
Asymmetric unit:
Sr  0.0000  0.0000  0.1046 (multiplicity 2)  8 Hg 3.46-3.47
Sr  0.0000  0.0000  0.3136 (multiplicity 2)  8 Hg 3.39-3.45, 1 Sn 3.59
Sn  0.0000  0.0000  0.5000 (multiplicity 1)  8 Hg 3.29, 2 Sr 3.59
Hg  0.5000  0.5000  0.0000 (multiplicity 1)  8 Sr 3.46
Hg  0.5000  0.5000  0.2099 (multiplicity 2)  8 Sr 3.45-3.47
Hg  0.5000  0.5000  0.4115 (multiplicity 2)  4 Sn 3.29, 4 Sr 3.39, 1 Hg 3.41



6.
The following is a DFT calculation (PBE) of an optimized crystal structure of BaCrI2N.

Properties
- Polymorph energy (0 for the lowest one): 1.115 eV/atom
- ΔE_f (raw): 0.5911 eV per atom

Unit cell a=6.7876 b=6.7876 c=5.3748 alpha=90.00 beta=90.00 gamma=90.00
Last column: nearest neighbours and their distance in Å.
Space group P4/mmm (No. 123)
Asymmetric unit:
Ba  0.0000  0.0000  0.0000 (multiplicity 1)  2 N 2.69
Cr  0.5000  0.5000  0.5000 (multiplicity 1)  8 I 4.33, 4 N 4.80
I  0.0000  0.5000  0.0000 (multiplicity 2)  2 Ba 3.39
N  0.0000  0.0000  0.5000 (multiplicity 1)  2 Ba 2.69



7.
The following is a DFT calculation (PBE) of an optimized crystal structure of LiCuMo.

Properties
- Polymorph energy (0 for the lowest one): 0.076 eV/atom

Unit cell a=2.6223 b=4.8814 c=7.2977 alpha=72.46 beta=87.91 gamma=76.66
Last column: nearest neighbours and their distance in Å.
Space group P1 (No. 1)
Asymmetric unit:
Li  0.0000  0.0000  0.0000 (multiplicity 1)  5 Li 2.52-2.81, 2 Cu 2.76-2.78
Li  0.3531  0.4485  0.0870 (multiplicity 1)  5 Li 2.52-2.81, 4 Cu 2.57-2.71
Cu  0.6938  0.6484  0.3377 (multiplicity 1)  5 Cu 2.47-2.65, 3 Li 2.59-2.76, 2 Mo 2.69-2.70
Cu  0.9912  0.0819  0.3608 (multiplicity 1)  5 Cu 2.47-2.65, 2 Li 2.57-2.59, 3 Mo 2.63-2.76
Mo  0.3370  0.2598  0.6290 (multiplicity 1)  4 Mo 2.49-2.63, 4 Cu 2.63-2.76
Mo  0.7764  0.7248  0.7131 (multiplicity 1)  4 Mo 2.49-2.63, 1 Cu 2.76